Entry 1:
DFT (PBE-GGA) results for crystalline Tb4ZnCo3 at its relaxed geometry.

Unit cell a=4.0046 b=4.0551 c=10.4426 alpha=90.00 beta=90.00 gamma=90.00
Space group Pmm2 (No. 25)
Inequivalent atoms, fractional coordinates:
1 Tb 0.0000 0.0000 0.0000 x1
2 Tb 0.0000 0.5000 0.2775 x1
3 Tb 0.5000 0.0000 0.4841 x1
4 Tb 0.5000 0.5000 0.7752 x1
5 Zn 0.0000 0.0000 0.6986 x1
6 Co 0.0000 0.5000 0.5634 x1
7 Co 0.5000 0.0000 0.1888 x1
8 Co 0.5000 0.5000 0.0841 x1

## Properties
As for the formation enthalpy at 0 K: -0.197 eV/atom. The energy is -5.336 eV/atom. Its magnetic moment is 0.173 μB per atom.

---

Entry 2:
DFT (PBE-GGA) results for crystalline TbZnCo at its relaxed geometry.

Unit cell a=4.2043 b=4.2043 c=3.6389 alpha=90.00 beta=90.00 gamma=120.00
Space group P-6m2 (No. 187)
Inequivalent atoms, fractional coordinates:
1 Tb 0.0000 0.0000 0.0000 x1
2 Zn 0.3333 0.6667 0.5000 x1
3 Co 0.6667 0.3333 0.5000 x1

## Properties
As for the formation enthalpy at 0 K: -0.189 eV/atom. The energy is -4.526 eV/atom. Its magnetic moment is 0.079 μB per atom.

---

Entry 3:
DFT (PBE-GGA) results for crystalline TbZn2Co at its relaxed geometry.

Unit cell a=4.1225 b=4.1225 c=14.7642 alpha=90.00 beta=90.00 gamma=120.00
Space group R-3m (No. 166, hexagonal axes)
Inequivalent atoms, fractional coordinates:
1 Tb 0.0000 0.0000 0.0000 x3
2 Zn 0.0000 0.0000 0.2076 x6
3 Co 0.0000 0.0000 0.5000 x3

## Properties
As for the formation enthalpy at 0 K: -0.140 eV/atom. The energy is -3.711 eV/atom. Its magnetic moment is 0.000 μB per atom.

---

Entry 4:
DFT (PBE-GGA) results for crystalline Tb12Zn6Co at its relaxed geometry.

Unit cell a=11.6740 b=11.6740 c=12.9127 alpha=90.00 beta=90.00 gamma=120.00
Space group R-3 (No. 148, hexagonal axes)
Inequivalent atoms, fractional coordinates:
1 Tb 0.0341 0.1907 0.3776 x18
2 Tb 0.0368 0.8450 0.8901 x18
3 Zn 0.0041 0.6051 0.7557 x18
4 Co 0.0000 0.0000 0.5000 x3

## Properties
As for the formation enthalpy at 0 K: -0.112 eV/atom. The energy is -3.813 eV/atom. Its magnetic moment is 0.000 μB per atom.

---

Entry 5:
DFT (PBE-GGA) results for crystalline TbZn5Co2 at its relaxed geometry.

Unit cell a=3.8750 b=7.2815 c=9.0320 alpha=90.00 beta=90.00 gamma=90.00
Space group Immm (No. 71)
Inequivalent atoms, fractional coordinates:
1 Tb 0.0000 0.0000 0.0000 x2
2 Zn 0.0000 0.1830 0.3398 x8
3 Zn 0.0000 0.5000 0.0000 x2
4 Co 0.0000 0.5000 0.2633 x4

## Properties
As for the formation enthalpy at 0 K: -0.129 eV/atom. The energy is -3.281 eV/atom. Its magnetic moment is 0.000 μB per atom.

---

Entry 6:
DFT (PBE-GGA) results for crystalline Tb4ZnCo4 at its relaxed geometry.

Unit cell a=8.2082 b=8.2082 c=5.3979 alpha=90.00 beta=90.00 gamma=90.00
Space group P4_2/n (No. 86, origin choice 2)
Inequivalent atoms, fractional coordinates:
1 Tb 0.0407 0.6867 0.1073 x8
2 Zn 0.2500 0.2500 0.2500 x2
3 Co 0.0094 0.3803 0.4010 x8

## Properties
As for the formation enthalpy at 0 K: -0.089 eV/atom. The energy is -5.447 eV/atom. Its magnetic moment is 0.098 μB per atom.

---

Entry 7:
DFT (PBE-GGA) results for crystalline Tb5Zn2Co2 at its relaxed geometry.

Unit cell a=15.6119 b=7.1922 c=7.3894 alpha=90.00 beta=90.00 gamma=90.00
Space group Cmce (No. 64)
Inequivalent atoms, fractional coordinates:
1 Tb 0.0000 0.0000 0.0000 x4
2 Tb 0.1273 0.1839 0.3169 x16
3 Zn 0.2191 0.0000 0.0000 x8
4 Co 0.0000 0.1070 0.6130 x8

## Properties
As for the formation enthalpy at 0 K: -0.205 eV/atom. The energy is -4.639 eV/atom. Its magnetic moment is 0.000 μB per atom.

---

Entry 8:
DFT (PBE-GGA) results for crystalline Tb3Zn2Co7 at its relaxed geometry.

Unit cell a=5.0635 b=5.0635 c=24.4378 alpha=90.00 beta=90.00 gamma=120.00
Space group R-3m (No. 166, hexagonal axes)
Inequivalent atoms, fractional coordinates:
1 Tb 0.0000 0.0000 0.0000 x3
2 Tb 0.0000 0.0000 0.1396 x6
3 Zn 0.0000 0.0000 0.3334 x6
4 Co 0.0000 0.0000 0.5000 x3
5 Co 0.9997 0.4998 0.0837 x18

## Properties
As for the formation enthalpy at 0 K: -0.200 eV/atom. The energy is -5.715 eV/atom. Its magnetic moment is 0.533 μB per atom.